## TaInBiSb2 (PBE)

Data for a relaxed TaInBiSb2 crystal.

Results
Size of the total moment (μB per atom): 0.00
Raw formation energy (eV/atom): 0.523
Final energy (eV/atom): -4.820
Space-group type: P4/mmm, No. 123
Crystal system: tetragonal

a = 5.3772 Å, b = 5.4878 Å, c = 5.3772 Å
α = 90.00°, β = 90.00°, γ = 90.00°
Last column: nearest neighbours and their distance in Å.
Positions (direct):
Sb1 0.5000 0.0000 0.0000  2 Ta 2.69
Bi1 0.5000 0.5000 0.5000  4 In 3.80, 8 Sb 3.84
In1 0.0000 0.5000 0.0000  2 Ta 2.74
Ta1 0.0000 0.0000 0.0000  4 Sb 2.69, 2 In 2.74
Sb2 0.0000 0.0000 0.5000  2 Ta 2.69